BaAgHg2Au | PBE-GGA | relaxed

Computed properties:
- Mass density: 9.0 g/cm³
- Energy above the lowest structure with this stoichiometry: 0 meV/atom
- Formation enthalpy at 0 K: -0.19 eV/atom
- Crystal system: tetragonal

a b c (Å): 5.355 5.355 5.400
angles (deg): 90.00 90.00 90.00
Element x y z (fractional)
Au (0.000, 0.000, 0.500)
Hg (0.500, 0.000, 0.000)
Hg (0.000, 0.500, 0.000)
Ag (0.000, 0.000, 0.000)
Ba (0.500, 0.500, 0.500)



Ga3CoIr | PBE-GGA | relaxed

Computed properties:
- Mass density: 10.1 g/cm³
- Energy above the lowest structure with this stoichiometry: 0 meV/atom
- Formation enthalpy at 0 K: -0.30 eV/atom
- Crystal system: orthorhombic

a b c (Å): 4.183 8.781 8.781
angles (deg): 91.00 76.19 76.19
Element x y z (fractional)
Ir (0.497, 0.173, 0.332)
Ir (0.503, 0.827, 0.668)
Ir (0.003, 0.668, 0.827)
Ir (0.997, 0.332, 0.173)
Ga (0.367, 0.478, 0.286)
Ga (0.624, 0.873, 0.378)
Ga (0.124, 0.378, 0.873)
Ga (0.376, 0.127, 0.622)
Ga (0.873, 0.968, 0.787)
Ga (0.627, 0.213, 0.032)
Ga (0.876, 0.622, 0.127)
Ga (0.633, 0.522, 0.714)
Ga (0.133, 0.714, 0.522)
Ga (0.867, 0.286, 0.478)
Ga (0.373, 0.787, 0.968)
Ga (0.127, 0.032, 0.213)
Co (0.250, 0.755, 0.245)
Co (0.750, 0.245, 0.755)
Co (0.750, 0.913, 0.087)
Co (0.250, 0.087, 0.913)



Ac2YPb2 | PBE-GGA | relaxed

Computed properties:
- Mass density: 8.9 g/cm³
- Energy above the lowest structure with this stoichiometry: 0 meV/atom
- Formation enthalpy at 0 K: -0.52 eV/atom
- Crystal system: tetragonal

a b c (Å): 4.985 8.484 8.484
angles (deg): 90.00 90.00 90.00
Element x y z (fractional)
Pb (0.000, 0.865, 0.635)
Pb (0.000, 0.365, 0.865)
Pb (0.000, 0.135, 0.365)
Pb (0.000, 0.635, 0.135)
Ac (0.500, 0.171, 0.671)
Ac (0.500, 0.329, 0.171)
Ac (0.500, 0.829, 0.329)
Ac (0.500, 0.671, 0.829)
Y (0.000, 0.000, 0.000)
Y (0.000, 0.500, 0.500)



ZnFe2Os | PBE-GGA | relaxed

Computed properties:
- Mass density: 11.8 g/cm³
- Formation enthalpy at 0 K: 0.12 eV/atom
- Crystal system: trigonal

a b c (Å): 8.655 8.655 8.655
angles (deg): 17.58 17.58 17.58
Site moments in Bohr magnetons follow the coordinates.
Element x y z (fractional)
Os (0.250, 0.250, 0.250)  -0.09
Zn (0.750, 0.750, 0.750)  -0.04
Fe (0.500, 0.500, 0.500)  2.09
Fe (0.000, 0.000, 0.000)  2.09



Which value of mass density does entry 3 give?
8.9 g/cm³